No. 1
First-principles (PBE) data for an optimized crystal structure of PmErTlRu, as listed in the Alexandria database.

Its calculated formation energy is -0.21 eV/atom. As for the total energy: -21.81 eV/f.u.

The structure belongs to space group F-43m (No. 216); the cell edges are 7.253, 7.253 and 7.253 Å and the angles 90.00°, 90.00° and 90.00°. The distinct sites, in fractional coordinates, are Pm at (0.000, 0.000, 0.000), Er at (0.000, 0.000, 0.500), Tl at (0.250, 0.250, 0.250) and Ru at (0.250, 0.250, 0.750).


No. 2
First-principles (PBE) data for an optimized crystal structure of Ho2AsCl, as listed in the Alexandria database.

As for the total energy: -21.20 eV/f.u.

The structure belongs to space group C2/m (No. 12); the cell edges are 7.104, 4.129 and 6.884 Å and the angles 90.00°, 110.36° and 90.00°. The distinct sites, in fractional coordinates, are Ho at (0.241, 0.000, 0.224), As at (0.000, 0.500, 0.000) and Cl at (0.000, 0.000, 0.500).


No. 3
First-principles (PBE) data for an optimized crystal structure of CsMgTa, as listed in the Alexandria database.

Its calculated formation energy is 1.53 eV/atom. As for the total energy: -9.71 eV/f.u. Its energy above the most stable polymorph in this dataset is 0.9658 eV per atom.

The structure belongs to space group P4/nmm (No. 129, origin choice 2); the cell edges are 3.554, 3.554 and 15.401 Å and the angles 90.00°, 90.00° and 90.00°. The distinct sites, in fractional coordinates, are Cs at (0.250, 0.250, 0.145), Mg at (0.250, 0.750, 0.500) and Ta at (0.250, 0.250, 0.657).


No. 4
First-principles (PBE) data for an optimized crystal structure of ZnH2Ir, as listed in the Alexandria database.

As for the total energy: -15.45 eV/f.u. Its energy above the most stable polymorph in this dataset is 0.1687 eV per atom.

The structure belongs to space group Immm (No. 71); the cell edges are 2.552, 4.694 and 7.102 Å and the angles 90.00°, 90.00° and 90.00°. The distinct sites, in fractional coordinates, are Zn at (0.000, 0.000, 0.000), H at (0.000, 0.000, 0.261) and Ir at (0.000, 0.000, 0.500).


No. 5
First-principles (PBE) data for an optimized crystal structure of U5P3H12, as listed in the Alexandria database.

As for the total energy: -108.01 eV/f.u.

The structure belongs to space group Ia-3d (No. 230); the cell edges are 11.793, 11.793 and 11.793 Å and the angles 90.00°, 90.00° and 90.00°. The distinct sites, in fractional coordinates, are U at (0.000, 0.000, 0.000), U at (0.000, 0.250, 0.375), P at (0.000, 0.250, 0.125) and H at (0.022, 0.105, 0.642).


No. 6
First-principles (PBE) data for an optimized crystal structure of ZrNb2Tc, as listed in the Alexandria database.

Its calculated formation energy is -0.05 eV/atom. As for the total energy: -39.27 eV/f.u. Its energy above the most stable polymorph in this dataset is 0.1655 eV per atom.

The structure belongs to space group P4/mmm (No. 123); the cell edges are 4.659, 4.659 and 3.301 Å and the angles 90.00°, 90.00° and 90.00°. The distinct sites, in fractional coordinates, are Zr at (0.000, 0.000, 0.000), Nb at (0.000, 0.500, 0.500) and Tc at (0.500, 0.500, 0.000).


No. 7
First-principles (PBE) data for an optimized crystal structure of Er2InSn3, as listed in the Alexandria database.

Its calculated formation energy is -0.53 eV/atom. As for the total energy: -27.02 eV/f.u. Its energy above the most stable polymorph in this dataset is 0.0000 eV per atom.

The structure belongs to space group Cmmm (No. 65); the cell edges are 4.360, 15.251 and 4.606 Å and the angles 90.00°, 90.00° and 90.00°. The distinct sites, in fractional coordinates, are Er at (0.000, 0.151, 0.000), In at (0.000, 0.000, 0.500), Sn at (0.000, 0.322, 0.500) and Sn at (0.000, 0.500, 0.000).


No. 8
First-principles (PBE) data for an optimized crystal structure of Na3LaTc, as listed in the Alexandria database.

Its calculated formation energy is 0.45 eV/atom. As for the total energy: -17.02 eV/f.u. Its energy above the most stable polymorph in this dataset is 0.4112 eV per atom.

The structure belongs to space group P4mm (No. 99); the cell edges are 4.023, 4.023 and 8.816 Å and the angles 90.00°, 90.00° and 90.00°. The distinct sites, in fractional coordinates, are Na at (0.000, 0.000, 0.000), Na at (0.000, 0.500, 0.644), La at (0.500, 0.500, 0.287) and Tc at (0.000, 0.000, 0.362).